Record 1
The following is a DFT calculation (PBE-GGA) of a relaxed structure of NdTa3C.

The calculation puts the final energy at -48.56 eV/f.u. The magnetization comes out at 0.00 μB per cell.

The structure belongs to space group Pm-3m (No. 221); the cell edges are 4.487, 4.487 and 4.487 Å and the angles 90.00°, 90.00° and 90.00°. The inequivalent atoms are Nd at (0.000, 0.000, 0.000), Ta at (0.000, 0.500, 0.500) and C at (0.500, 0.500, 0.500).

***

Record 2
The following is a DFT calculation (PBE-GGA) of a relaxed structure of Nd2Tc2C3.

The calculation puts the final energy at -59.43 eV/f.u. The magnetization comes out at 0.00 μB per cell.

The structure belongs to space group C2/m (No. 12); the cell edges are 12.026, 3.431 and 5.868 Å and the angles 90.00°, 116.62° and 90.00°. The inequivalent atoms are Nd at (0.106, 0.000, 0.313), Tc at (0.162, 0.500, 0.819), C at (0.000, 0.500, 0.500) and C at (0.250, 0.000, 0.778).

***

Record 3
The following is a DFT calculation (PBE-GGA) of a relaxed structure of NdYC2.

The calculation puts the final energy at -30.03 eV/f.u. The magnetization comes out at 0.00 μB per cell.

The structure belongs to space group Amm2 (No. 38); the cell edges are 4.856, 6.364 and 5.406 Å and the angles 90.00°, 90.00° and 90.00°. The inequivalent atoms are Nd at (0.000, 0.000, 0.000), Y at (0.500, 0.000, 0.501) and C at (0.000, 0.104, 0.499).

***

Record 4
The following is a DFT calculation (PBE-GGA) of a relaxed structure of Ni2C.

The energy above the most stable polymorph in this dataset comes out at 988 meV/atom. The magnetization comes out at 0.05 μB per cell.

The structure belongs to space group Fd-3m (No. 227, origin choice 2); the cell edges are 8.157, 8.157 and 8.157 Å and the angles 90.00°, 90.00° and 90.00°. The inequivalent atoms are Ni at (0.000, 0.000, 0.000) and C at (0.125, 0.125, 0.125).

***

Record 5
The following is a DFT calculation (PBE-GGA) of a relaxed structure of Ni2C.

The energy above the most stable polymorph in this dataset comes out at 0 meV/atom. The magnetization comes out at 0.00 μB per cell.

The structure belongs to space group Pnma (No. 62); the cell edges are 9.763, 2.911 and 4.065 Å and the angles 90.00°, 90.00° and 90.00°. The inequivalent atoms are Ni at (0.040, 0.250, 0.237), Ni at (0.208, 0.250, 0.767) and C at (0.130, 0.750, 0.007).

***

Record 6
The following is a DFT calculation (PBE-GGA) of a relaxed structure of NiC3.

The energy above the most stable polymorph in this dataset comes out at 770 meV/atom. The magnetization comes out at 0.00 μB per cell.

The structure belongs to space group Pm-3m (No. 221); the cell edges are 3.162, 3.162 and 3.162 Å and the angles 90.00°, 90.00° and 90.00°. The inequivalent atoms are Ni at (0.000, 0.000, 0.000) and C at (0.000, 0.500, 0.500).

***

Record 7
The following is a DFT calculation (PBE-GGA) of a relaxed structure of Ni2C.

The energy above the most stable polymorph in this dataset comes out at 1689 meV/atom. The magnetization comes out at 0.03 μB per cell.

The structure belongs to space group Fd-3m (No. 227, origin choice 2); the cell edges are 6.388, 6.388 and 6.388 Å and the angles 90.00°, 90.00° and 90.00°. The inequivalent atoms are Ni at (0.000, 0.000, 0.000) and C at (0.125, 0.125, 0.625).

***

Record 8
The following is a DFT calculation (PBE-GGA) of a relaxed structure of NiC3.

The energy above the most stable polymorph in this dataset comes out at 0 meV/atom. The magnetization comes out at 0.01 μB per cell.

The structure belongs to space group I4/mmm (No. 139); the cell edges are 2.525, 2.525 and 12.849 Å and the angles 90.00°, 90.00° and 90.00°. The inequivalent atoms are Ni at (0.000, 0.000, 0.000), C at (0.000, 0.000, 0.500) and C at (0.000, 0.500, 0.250).

***

Record 9
The following is a DFT calculation (PBE-GGA) of a relaxed structure of NiC3.

The energy above the most stable polymorph in this dataset comes out at 788 meV/atom. The magnetization comes out at 0.01 μB per cell.

The structure belongs to space group Fm-3m (No. 225); the cell edges are 4.996, 4.996 and 4.996 Å and the angles 90.00°, 90.00° and 90.00°. The inequivalent atoms are Ni at (0.000, 0.000, 0.000), C at (0.000, 0.000, 0.500) and C at (0.250, 0.250, 0.250).

***

Record 10
The following is a DFT calculation (PBE-GGA) of a relaxed structure of Ni14C.

The calculation puts the final energy at -80.24 eV/f.u. The magnetization comes out at 23.84 μB per cell.

The structure belongs to space group R-3m (No. 166, hexagonal axes); the cell edges are 7.0484, 7.0484 and 12.1888 Å and the angles 90.00°, 90.00° and 120.00°. The inequivalent atoms are Ni at (0.0000, 0.0000, 0.1434), Ni at (0.0000, 0.3242, 0.5000), Ni at (0.0973, 0.5486, 0.3361) and C at (0.0000, 0.0000, 0.0000).

***

Record 11
The following is a DFT calculation (PBE-GGA) of a relaxed structure of Ni5C.

The calculation puts the final energy at -29.73 eV/f.u. The magnetization comes out at 1.96 μB per cell.

The structure belongs to space group P6/mmm (No. 191); the cell edges are 4.4688, 4.4688 and 4.1405 Å and the angles 90.00°, 90.00° and 120.00°. The inequivalent atoms are Ni at (0.0000, 0.5000, 0.0000), Ni at (0.3333, 0.6667, 0.5000) and C at (0.0000, 0.0000, 0.5000).

***

Record 12
The following is a DFT calculation (PBE-GGA) of a relaxed structure of Ni6P2C.

The calculation puts the final energy at -55.17 eV/f.u. The magnetization comes out at 0.01 μB per cell.

The structure belongs to space group P-62m (No. 189); the cell edges are 5.9202, 5.9202 and 3.0163 Å and the angles 90.00°, 90.00° and 120.00°. The inequivalent atoms are Ni at (0.0000, 0.2427, 0.0000), Ni at (0.0000, 0.5994, 0.5000), P at (0.3333, 0.6667, 0.0000) and C at (0.0000, 0.0000, 0.5000).

***

Record 13
The following is a DFT calculation (PBE-GGA) of a relaxed structure of Sc4NiPC2.

The calculation puts the final energy at -59.34 eV/f.u. The magnetization comes out at 0.09 μB per cell.

The structure belongs to space group P-6m2 (No. 187); the cell edges are 3.3475, 3.3475 and 12.7036 Å and the angles 90.00°, 90.00° and 120.00°. The inequivalent atoms are Sc at (0.0000, 0.0000, 0.1508), Sc at (0.6667, 0.3333, 0.3465), Ni at (0.0000, 0.0000, 0.5000), P at (0.6667, 0.3333, 0.0000) and C at (0.3333, 0.6667, 0.2509).

***

Record 14
The following is a DFT calculation (PBE-GGA) of a relaxed structure of Sc4NiPC2.

The calculation puts the final energy at -59.34 eV/f.u. The magnetization comes out at 0.10 μB per cell.

The structure belongs to space group P-6m2 (No. 187); the cell edges are 3.3476, 3.3476 and 12.7031 Å and the angles 90.00°, 90.00° and 120.00°. The inequivalent atoms are Sc at (0.0000, 0.0000, 0.1508), Sc at (0.3333, 0.6667, 0.3465), Ni at (0.0000, 0.0000, 0.5000), P at (0.3333, 0.6667, 0.0000) and C at (0.6667, 0.3333, 0.2509).

***

Record 15
The following is a DFT calculation (PBE-GGA) of a relaxed structure of Ta4NiPC2.

The calculation puts the final energy at -81.16 eV/f.u. The magnetization comes out at 0.00 μB per cell.

The structure belongs to space group P-6m2 (No. 187); the cell edges are 3.1997, 3.1997 and 12.2366 Å and the angles 90.00°, 90.00° and 120.00°. The inequivalent atoms are Ta at (0.0000, 0.0000, 0.1432), Ta at (0.3333, 0.6667, 0.3417), Ni at (0.0000, 0.0000, 0.5000), P at (0.3333, 0.6667, 0.0000) and C at (0.6667, 0.3333, 0.2460).

***

Record 16
The following is a DFT calculation (PBE-GGA) of a relaxed structure of NiPW4C2.

The calculation puts the final energy at -80.18 eV/f.u. The magnetization comes out at 0.01 μB per cell.

The structure belongs to space group P-6m2 (No. 187); the cell edges are 3.1257, 3.1257 and 12.0477 Å and the angles 90.00°, 90.00° and 120.00°. The inequivalent atoms are Ni at (0.0000, 0.0000, 0.0000), P at (0.3333, 0.6667, 0.5000), W at (0.0000, 0.0000, 0.3520), W at (0.3333, 0.6667, 0.1610) and C at (0.6667, 0.3333, 0.2514).

***

Record 17
The following is a DFT calculation (PBE-GGA) of a relaxed structure of NiPW4C2.

The calculation puts the final energy at -80.18 eV/f.u. The magnetization comes out at 0.01 μB per cell.

The structure belongs to space group P-6m2 (No. 187); the cell edges are 3.1254, 3.1254 and 12.0653 Å and the angles 90.00°, 90.00° and 120.00°. The inequivalent atoms are Ni at (0.0000, 0.0000, 0.0000), P at (0.6667, 0.3333, 0.5000), W at (0.0000, 0.0000, 0.3520), W at (0.6667, 0.3333, 0.1608) and C at (0.3333, 0.6667, 0.2514).

***

Record 18
The following is a DFT calculation (PBE-GGA) of a relaxed structure of Zr4NiPC2.

The calculation puts the final energy at -69.75 eV/f.u. The magnetization comes out at 0.01 μB per cell.

The structure belongs to space group P-6m2 (No. 187); the cell edges are 3.4092, 3.4092 and 12.5078 Å and the angles 90.00°, 90.00° and 120.00°. The inequivalent atoms are Zr at (0.0000, 0.0000, 0.1444), Zr at (0.3333, 0.6667, 0.3512), Ni at (0.0000, 0.0000, 0.5000), P at (0.3333, 0.6667, 0.0000) and C at (0.6667, 0.3333, 0.2471).

***

Record 19
The following is a DFT calculation (PBE-GGA) of a relaxed structure of Ni4PbC2Se.

The calculation puts the final energy at -44.52 eV/f.u. The magnetization comes out at 0.01 μB per cell.

The structure belongs to space group P-6m2 (No. 187); the cell edges are 3.1768, 3.1768 and 12.0413 Å and the angles 90.00°, 90.00° and 120.00°. The inequivalent atoms are Ni at (0.0000, 0.0000, 0.1598), Ni at (0.3333, 0.6667, 0.2949), Pb at (0.0000, 0.0000, 0.5000), C at (0.6667, 0.3333, 0.2341) and Se at (0.3333, 0.6667, 0.0000).

***

Record 20
The following is a DFT calculation (PBE-GGA) of a relaxed structure of Ta4NiPbC2.

The calculation puts the final energy at -77.01 eV/f.u. The magnetization comes out at 0.01 μB per cell.

The structure belongs to space group P-6m2 (No. 187); the cell edges are 3.1614, 3.1614 and 13.7050 Å and the angles 90.00°, 90.00° and 120.00°. The inequivalent atoms are Ta at (0.0000, 0.0000, 0.1416), Ta at (0.3333, 0.6667, 0.3186), Ni at (0.3333, 0.6667, 0.0000), Pb at (0.0000, 0.0000, 0.5000) and C at (0.6667, 0.3333, 0.2300).